Below is an optimized crystal structure of LaTi3Br, with properties calculated at the PBE-GGA level.

a b c (Å): 4.9006 4.9006 4.9006
angles (deg): 90.00 90.00 90.00
With the nearest neighbours (Å) after each atom.
Space group Pm-3m (No. 221)
Asymmetric unit:
La 0.0000 0.0000 0.0000  6 Ti 2.45
Ti 0.0000 0.0000 0.5000  2 La 2.45
Br 0.5000 0.5000 0.5000  12 Ti 3.47

Computed properties:
- relative energy among the computed polymorphs (meV per atom) = 1042
- formation energy (no corrections) (meV per atom) = 1380
- volume (Å³ per atom) = 23.5
- theoretical density (g/cm³) = 5.11